VASP calculation (PBE) on crystalline Ce4Cd5Au2 at its relaxed geometry.

Properties
V	24.71	Å³ per atom
energy relative to the elements	-3.6	eV/f.u.

Cell: 3.2921 7.9657 10.3711 Å, 92.00 90.00 90.00°
Fractional positions:
Ce 0.5000 0.7330 0.5454
Ce 0.5000 0.1170 0.8982
Ce 0.5000 0.2670 0.4546
Ce 0.5000 0.8830 0.1018
Cd 0.0000 0.5787 0.2859
Cd 0.0000 0.2271 0.1732
Cd 0.0000 0.5000 0.0000
Cd 0.0000 0.7729 0.8268
Cd 0.0000 0.4213 0.7141
Au 0.0000 0.0504 0.6424
Au 0.0000 0.9496 0.3576

---

VASP calculation (PBE) on crystalline Ce2CdAu3 at its relaxed geometry.

Properties
V	22.80	Å³ per atom
energy relative to the elements	-3.6	eV/f.u.

Cell: 5.9012 5.9012 9.0816 Å, 101.83 101.83 111.66°
Fractional positions:
Ce 0.2500 0.7500 0.5000
Ce 0.7641 0.7641 0.0000
Ce 0.7500 0.2500 0.5000
Ce 0.2359 0.2359 0.0000
Cd 0.6658 0.6658 0.3315
Cd 0.3342 0.3342 0.6685
Au 0.3362 0.8310 0.1671
Au 0.1690 0.6638 0.8329
Au 0.6638 0.1690 0.8329
Au 0.8310 0.3362 0.1671
Au 0.1679 0.1679 0.3358
Au 0.8321 0.8321 0.6642

---

VASP calculation (PBE) on crystalline CeCdAu6 at its relaxed geometry.

Properties
V	20.62	Å³ per atom
energy relative to the elements	-2.3	eV/f.u.

Cell: 5.4846 5.4846 5.4846 Å, 90.00 90.00 90.00°
Fractional positions:
Ce 0.0000 0.0000 0.0000
Cd 0.5000 0.5000 0.5000
Au 0.5000 0.7474 0.0000
Au 0.7474 0.0000 0.5000
Au 0.0000 0.5000 0.2526
Au 0.2526 0.0000 0.5000
Au 0.5000 0.2526 0.0000
Au 0.0000 0.5000 0.7474

---

VASP calculation (PBE) on crystalline CeCdAu3 at its relaxed geometry.

Properties
V	21.82	Å³ per atom
relative energy among the computed polymorphs	0.000	eV per atom
energy relative to the elements	-2.3	eV/f.u.

Cell: 4.7616 3.3167 13.9125 Å, 96.85 90.00 90.00°
Fractional positions:
Ce 0.2500 0.0762 0.1524
Ce 0.7500 0.9238 0.8476
Cd 0.2500 0.7859 0.5719
Cd 0.7500 0.2141 0.4281
Au 0.2500 0.3738 0.7477
Au 0.7500 0.6262 0.2523
Au 0.2500 0.4743 0.9486
Au 0.7500 0.5257 0.0514
Au 0.7500 0.3173 0.6345
Au 0.2500 0.6827 0.3655

---

VASP calculation (PBE) on crystalline CeErCdAu at its relaxed geometry.

Properties
V	25.42	Å³ per atom
energy relative to the elements	-1.7	eV/f.u.

Cell: 5.2393 5.2393 5.2393 Å, 60.00 60.00 60.00°
Fractional positions:
Cd 0.7500 0.7500 0.7500
Au 0.2500 0.2500 0.2500
Ce 0.0000 0.0000 0.0000
Er 0.5000 0.5000 0.5000

---

VASP calculation (PBE) on crystalline CeEr2CdAu4 at its relaxed geometry.

Properties
V	22.77	Å³ per atom
energy relative to the elements	-5.4	eV/f.u.

Cell: 5.0370 5.0370 8.7862 Å, 73.34 73.34 60.00°
Fractional positions:
Ce 0.0000 0.0000 0.0000
Er 0.7590 0.7590 0.7231
Er 0.2410 0.2410 0.2769
Cd 0.5000 0.5000 0.5000
Au 0.3729 0.3729 0.8812
Au 0.8791 0.8791 0.3628
Au 0.1209 0.1209 0.6372
Au 0.6271 0.6271 0.1188

---

VASP calculation (PBE) on crystalline CeEuCdAu at its relaxed geometry.

Properties
V	27.33	Å³ per atom
energy relative to the elements	-1.7	eV/f.u.

Cell: 5.3673 5.3673 5.3673 Å, 60.00 60.00 60.00°
Fractional positions:
Eu 0.5000 0.5000 0.5000
Au 0.7500 0.7500 0.7500
Ce 0.0000 0.0000 0.0000
Cd 0.2500 0.2500 0.2500

---

VASP calculation (PBE) on crystalline CeCdGaAu at its relaxed geometry.

Properties
V	21.90	Å³ per atom
energy relative to the elements	-2.0	eV/f.u.

Cell: 4.9854 4.9854 4.9854 Å, 60.00 60.00 60.00°
Fractional positions:
Au 0.5000 0.5000 0.5000
Ga 0.0000 0.0000 0.0000
Ce 0.2500 0.2500 0.2500
Cd 0.7500 0.7500 0.7500

---

VASP calculation (PBE) on crystalline CeCdGa2Au2 at its relaxed geometry.

Properties
V	20.86	Å³ per atom
energy relative to the elements	-2.8	eV/f.u.

Cell: 4.5380 4.5380 7.0183 Å, 90.00 90.00 120.00°
Fractional positions:
Ce 0.0000 0.0000 0.0000
Cd 0.0000 0.0000 0.5000
Ga 0.6667 0.3333 0.2564
Ga 0.3333 0.6667 0.7436
Au 0.6667 0.3333 0.7216
Au 0.3333 0.6667 0.2784

---

VASP calculation (PBE) on crystalline Ce2CdGa4Au3 at its relaxed geometry.

Properties
V	21.07	Å³ per atom
energy relative to the elements	-5.4	eV/f.u.

Cell: 4.3711 4.3711 11.0252 Å, 90.00 90.00 90.00°
Fractional positions:
Ce 0.5000 0.0000 0.2455
Ce 0.0000 0.5000 0.7545
Cd 0.5000 0.5000 0.5000
Ga 0.5000 0.5000 0.0000
Ga 0.0000 0.0000 0.0000
Ga 0.5000 0.0000 0.6430
Ga 0.0000 0.5000 0.3570
Au 0.0000 0.0000 0.5000
Au 0.5000 0.0000 0.8697
Au 0.0000 0.5000 0.1303

---

VASP calculation (PBE) on crystalline Ce3CdGa2Au6 at its relaxed geometry.

Properties
V	23.70	Å³ per atom
energy relative to the elements	-4.5	eV/f.u.

Cell: 6.1856 6.1856 8.5825 Å, 90.00 90.00 120.00°
Fractional positions:
Ce 0.3333 0.6667 0.6332
Ce 0.6667 0.3333 0.3668
Ce 0.0000 0.0000 0.0000
Cd 0.0000 0.0000 0.5000
Ga 0.6667 0.3333 0.9953
Ga 0.3333 0.6667 0.0047
Au 0.6385 0.8192 0.2664
Au 0.1808 0.3615 0.2664
Au 0.1808 0.8192 0.2664
Au 0.8192 0.6385 0.7336
Au 0.3615 0.1808 0.7336
Au 0.8192 0.1808 0.7336

---

VASP calculation (PBE) on crystalline CeGdCdAu at its relaxed geometry.

Properties
V	25.98	Å³ per atom
energy relative to the elements	-1.7	eV/f.u.

Cell: 5.2770 5.2770 5.2770 Å, 60.00 60.00 60.00°
Fractional positions:
Gd 0.0000 0.0000 0.0000
Au 0.2500 0.2500 0.2500
Ce 0.5000 0.5000 0.5000
Cd 0.7500 0.7500 0.7500

---

VASP calculation (PBE) on crystalline CeHoCdAu at its relaxed geometry.

Properties
V	25.57	Å³ per atom
energy relative to the elements	-1.7	eV/f.u.

Cell: 5.2491 5.2491 5.2491 Å, 60.00 60.00 60.00°
Fractional positions:
Au 0.2500 0.2500 0.2500
Ho 0.5000 0.5000 0.5000
Ce 0.0000 0.0000 0.0000
Cd 0.7500 0.7500 0.7500

---

VASP calculation (PBE) on crystalline CeHo2CdAu4 at its relaxed geometry.

Properties
V	22.94	Å³ per atom
energy relative to the elements	-5.4	eV/f.u.

Cell: 5.0574 5.0574 8.7840 Å, 73.27 73.27 60.00°
Fractional positions:
Ce 0.0000 0.0000 0.0000
Ho 0.7591 0.7591 0.7228
Ho 0.2409 0.2409 0.2772
Cd 0.5000 0.5000 0.5000
Au 0.3708 0.3708 0.8876
Au 0.8793 0.8793 0.3622
Au 0.1207 0.1207 0.6378
Au 0.6292 0.6292 0.1124

---

VASP calculation (PBE) on crystalline CeCd2InAu2 at its relaxed geometry.

Properties
V	28.02	Å³ per atom
energy relative to the elements	-0.2	eV/f.u.

Cell: 5.4418 5.4418 6.8581 Å, 113.37 113.37 90.00°
Fractional positions:
Ce 0.5000 0.5000 0.0000
Cd 0.2500 0.7500 0.5000
Cd 0.7500 0.2500 0.5000
In 0.0000 0.0000 0.0000
Au 0.7606 0.7606 0.5212
Au 0.2394 0.2394 0.4788

---

VASP calculation (PBE) on crystalline Ce2CdIrAu at its relaxed geometry.

Properties
V	24.17	Å³ per atom
energy relative to the elements	-2.4	eV/f.u.

Cell: 4.6074 7.6249 7.1883 Å, 106.86 90.00 90.00°
Fractional positions:
Ce 0.7500 0.8699 0.6621
Ce 0.7500 0.7165 0.0288
Ce 0.2500 0.1301 0.3379
Ce 0.2500 0.2835 0.9712
Cd 0.2500 0.6904 0.3469
Cd 0.7500 0.3096 0.6531
Ir 0.2500 0.8936 0.9124
Ir 0.7500 0.1064 0.0876
Au 0.2500 0.5333 0.6827
Au 0.7500 0.4667 0.3173

---

VASP calculation (PBE) on crystalline LaCeCdAu at its relaxed geometry.

Properties
V	27.68	Å³ per atom
energy relative to the elements	-1.6	eV/f.u.

Cell: 5.3898 5.3898 5.3898 Å, 60.00 60.00 60.00°
Fractional positions:
Cd 0.7500 0.7500 0.7500
Au 0.2500 0.2500 0.2500
Ce 0.0000 0.0000 0.0000
La 0.5000 0.5000 0.5000

---

VASP calculation (PBE) on crystalline LiCeCdAu2 at its relaxed geometry.

Properties
V	21.86	Å³ per atom
energy relative to the elements	-2.2	eV/f.u.

Cell: 5.7284 5.5496 6.8758 Å, 90.00 90.00 90.00°
Fractional positions:
Li 0.0000 0.0000 0.0000
Li 0.0000 0.5000 0.0000
Ce 0.2529 0.2500 0.5000
Ce 0.7471 0.7500 0.5000
Cd 0.5849 0.7500 0.0000
Cd 0.4151 0.2500 0.0000
Au 0.7702 0.2500 0.7104
Au 0.7702 0.2500 0.2896
Au 0.2298 0.7500 0.7104
Au 0.2298 0.7500 0.2896

---

VASP calculation (PBE) on crystalline LiCe2CdAu4 at its relaxed geometry.

Properties
V	22.10	Å³ per atom
energy relative to the elements	-4.7	eV/f.u.

Cell: 5.0480 5.0480 8.5259 Å, 72.78 72.78 60.00°
Fractional positions:
Li 0.5000 0.5000 0.5000
Ce 0.7465 0.7465 0.7605
Ce 0.2535 0.2535 0.2395
Cd 0.0000 0.0000 0.0000
Au 0.3831 0.3831 0.8506
Au 0.8728 0.8728 0.3815
Au 0.1272 0.1272 0.6185
Au 0.6169 0.6169 0.1494

---

VASP calculation (PBE) on crystalline Li2CeCdAu4 at its relaxed geometry.

Properties
V	20.17	Å³ per atom
energy relative to the elements	-3.9	eV/f.u.

Cell: 4.5839 4.5839 9.2552 Å, 75.66 75.66 60.00°
Fractional positions:
Li 0.7662 0.7662 0.7013
Li 0.2338 0.2338 0.2987
Ce 0.0000 0.0000 0.0000
Cd 0.5000 0.5000 0.5000
Au 0.3934 0.3934 0.8197
Au 0.8815 0.8815 0.3555
Au 0.1185 0.1185 0.6445
Au 0.6066 0.6066 0.1803